# 1
# Ce3B2PdRh9

A relaxed structure of Ce3B2PdRh9 (PBE-GGA, the Alexandria database).

Structure (POSCAR):
```
Ce3B2PdRh9
1.0
-4.9833 0.2757 -2.8703
4.4303 -2.9460 -2.2003
-2.8186 -7.3654 4.1862
Ce B Pd Rh
3 2 1 9
Direct
0.3333 0.6667 0.6562
0.0000 0.0000 0.0000
0.6667 0.3333 0.3438
0.3333 0.6667 0.1451
0.6667 0.3333 0.8549
0.0000 0.0000 0.5000
0.8380 0.1620 0.7293
0.8380 0.6760 0.7293
0.3240 0.1620 0.7293
0.6760 0.8380 0.2707
0.1620 0.3240 0.2707
0.1620 0.8380 0.2707
0.5000 0.0000 0.0000
0.0000 0.5000 0.0000
0.5000 0.5000 0.0000
```

## Properties
N(E_F)	14.9	states/eV per cell
energy of formation from the pure elements	-0.53	eV/atom
uncorrected energy	-7.366	eV/atom

---

# 2
# Ce2B2PdRh5

A relaxed structure of Ce2B2PdRh5 (PBE-GGA, the Alexandria database).

Structure (POSCAR):
```
Ce2B2PdRh5
1.0
-0.9172 -2.4164 -2.0910
8.0182 -4.7305 1.9495
-4.3922 -4.5052 7.1331
Ce B Pd Rh
4 4 2 10
Direct
0.0000 0.6796 0.1796
0.0000 0.3204 0.8204
0.0000 0.1796 0.3204
0.0000 0.8204 0.6796
0.0000 0.1200 0.6200
0.0000 0.8800 0.3800
0.0000 0.6200 0.8800
0.0000 0.3800 0.1200
0.0000 0.0000 0.0000
0.0000 0.5000 0.5000
0.5000 0.2253 0.0712
0.5000 0.7747 0.9288
0.5000 0.0712 0.7747
0.5000 0.7253 0.4288
0.5000 0.9288 0.2253
0.5000 0.2747 0.5712
0.5000 0.5712 0.7253
0.5000 0.4288 0.2747
0.5000 0.5000 0.0000
0.5000 0.0000 0.5000
```

## Properties
N(E_F)	17.4	states/eV per cell
energy of formation from the pure elements	-0.62	eV/atom
uncorrected energy	-7.334	eV/atom

---

# 3
# CeBPt4

A relaxed structure of CeBPt4 (PBE-GGA, the Alexandria database).

Structure (POSCAR):
```
CeBPt4
1.0
5.4717 0.0000 0.0000
-2.7359 4.7387 0.0000
0.0000 0.0000 7.7393
Ce B Pt
2 2 8
Direct
0.0000 0.0000 0.5000
0.0000 0.0000 0.0000
0.6667 0.3333 0.5000
0.3333 0.6667 0.5000
0.6667 0.3333 0.0000
0.5000 0.5000 0.2999
0.5000 0.0000 0.2999
0.5000 0.0000 0.7001
0.5000 0.5000 0.7001
0.0000 0.5000 0.7001
0.3333 0.6667 0.0000
0.0000 0.5000 0.2999
```

## Properties
energy above the most stable polymorph in this dataset	0.0	meV per atom
N(E_F)	12.7	states/eV per cell
energy of formation from the pure elements	-0.78	eV/atom
uncorrected energy	-6.907	eV/atom

---

- Look up the uncorrected energy of the third one.
  -6.907 eV/atom